NdHo2Tm12 (PBE, optimized geometry); symmetry = No. 12; ΔH_f (0 K) = 0.1168 eV per atom; density = 8.952 Mg/m³
1.0
-1.551 -5.210 -3.608
5.573 -0.571 3.345
-15.104 -4.891 18.737
Nd Ho Tm
2 4 24
Direct
0.500 0.000 0.000 Nd
0.000 0.500 0.000 Nd
0.454 0.954 0.273 Ho
0.955 0.455 0.273 Ho
0.046 0.546 0.727 Ho
0.545 0.045 0.727 Ho
0.596 0.598 0.797 Tm
0.098 0.096 0.797 Tm
0.943 0.942 0.924 Tm
0.396 0.896 0.862 Tm
0.998 0.999 0.332 Tm
0.104 0.604 0.138 Tm
0.681 0.181 0.574 Tm
0.499 0.498 0.332 Tm
0.442 0.443 0.924 Tm
0.557 0.558 0.076 Tm
0.166 0.166 0.554 Tm
0.819 0.319 0.426 Tm
0.001 0.002 0.668 Tm
0.334 0.334 0.446 Tm
0.058 0.057 0.076 Tm
0.834 0.834 0.446 Tm
0.666 0.666 0.554 Tm
0.904 0.902 0.203 Tm
0.181 0.681 0.574 Tm
0.502 0.501 0.668 Tm
0.895 0.395 0.860 Tm
0.402 0.404 0.203 Tm
0.319 0.819 0.426 Tm
0.605 0.105 0.140 Tm


Cr4Sb (PBE, optimized geometry); symmetry = No. 139; polymorph energy (0 for the lowest one) = 0 meV/atom; density = 7.455 Mg/m³
1.0
-1.910 1.910 5.032
1.910 -1.910 5.032
1.910 1.910 -5.032
Cr Sb
4 1
Direct
0.750 0.250 0.500 Cr
0.250 0.750 0.500 Cr
0.619 0.619 0.000 Cr
0.381 0.381 0.000 Cr
0.000 0.000 0.000 Sb